Density functional theory data (GGA-PBE) for a geometry-optimized LiSiBr3 structure.

The uncorrected formation energy is -0.9 eV per formula unit. The value obtained for the mass density is 3.72 g/cm³. The density of states at the Fermi level comes out at 0.0 states/eV/cell.

The structure belongs to space group Pm-3m (No. 221); the cell edges are 4.9674, 4.9674 and 4.9674 Å and the angles 90.00°, 90.00° and 90.00°. The distinct sites, in fractional coordinates, are Li at (0.0000, 0.0000, 0.0000), Si at (0.5000, 0.5000, 0.5000) and Br at (0.0000, 0.0000, 0.5000).